(1)
Rb2AcSiO4: optimized geometry, PBE.

The structure belongs to space group I-4 (No. 82); the cell edges are 6.640, 6.640 and 7.876 Å and the angles 90.00°, 90.00° and 90.00°. The asymmetric unit holds Rb at (0.000, 0.000, 0.000), Rb at (0.000, 0.500, 0.250), Ac at (0.000, 0.000, 0.500), Si at (0.000, 0.500, 0.750) and O at (0.092, 0.680, 0.624).

Its theoretical density is 4.69 g cm⁻³. The value obtained for the density of states at the Fermi level is 0.20 states/eV per atom. The total energy is -49.69 eV/f.u. The formation energy from raw total energies is -2.299 eV per atom.

(2)
PmNbOs2: optimized geometry, PBE.

The structure belongs to space group P4/mmm (No. 123); the cell edges are 3.224, 3.224 and 7.210 Å and the angles 90.00°, 90.00° and 90.00°. The asymmetric unit holds Pm at (0.000, 0.000, 0.000), Nb at (0.000, 0.000, 0.500) and Os at (0.500, 0.500, 0.290).

Its theoretical density is 13.70 g cm⁻³. The value obtained for the density of states at the Fermi level is 0.36 states/eV per atom. The total energy is -37.55 eV/f.u. Its formation energy is -0.27 eV per formula unit.

Please write out number 2 again, unchanged.
PmNbOs2: optimized geometry, PBE.

The structure belongs to space group P4/mmm (No. 123); the cell edges are 3.224, 3.224 and 7.210 Å and the angles 90.00°, 90.00° and 90.00°. The asymmetric unit holds Pm at (0.000, 0.000, 0.000), Nb at (0.000, 0.000, 0.500) and Os at (0.500, 0.500, 0.290).

Its theoretical density is 13.70 g cm⁻³. The value obtained for the density of states at the Fermi level is 0.36 states/eV per atom. The total energy is -37.55 eV/f.u. Its formation energy is -0.27 eV per formula unit.

Question: Which formula does entry 1 have?
Answer: Rb2AcSiO4

Question: Look up the theoretical density of the first one.
Answer: 4.69 g cm⁻³